No. 1
A plane-wave DFT calculation with PBE-GGA was carried out for a relaxed structure of ZnSb2TeOs.

Summary:
Polymorph energy (0 for the lowest one), meV/atom: 0
M_tot, μB per atom: 0.000
Raw formation energy, meV/atom: 681.5
Crystal system: tetragonal
Energy, eV per cell: -20.5
D(E_F), states/eV per cell: 2.5

Cell: 5.002 5.002 5.879 Å, 90.00 90.00 90.00°
Fractional positions:
1 Zn 0.000 0.000 0.000
2 Sb 0.000 0.500 0.500
3 Sb 0.500 0.000 0.500
4 Te 0.500 0.500 0.000
5 Os 0.500 0.500 0.500

---

No. 2
A plane-wave DFT calculation with PBE-GGA was carried out for a relaxed structure of ZrSbTe2Os.

Summary:
Polymorph energy (0 for the lowest one), meV/atom: 0
M_tot, μB per atom: 0.224
Raw formation energy, meV/atom: 741.1
Crystal system: tetragonal
Energy, eV per cell: -26.5
D(E_F), states/eV per cell: 5.4

Cell: 5.342 5.342 4.925 Å, 90.00 90.00 90.00°
Fractional positions:
1 Zr 0.000 0.000 0.000
2 Sb 0.500 0.500 0.000
3 Te 0.000 0.500 0.500
4 Te 0.500 0.000 0.500
5 Os 0.500 0.500 0.500

---

No. 3
A plane-wave DFT calculation with PBE-GGA was carried out for a relaxed structure of ZrSbTe2Os.

Summary:
Polymorph energy (0 for the lowest one), meV/atom: 517
M_tot, μB per atom: 0.784
Raw formation energy, meV/atom: 1257.6
Crystal system: tetragonal
Energy, eV per cell: -23.9
D(E_F), states/eV per cell: 5.3

Cell: 5.480 5.480 5.631 Å, 90.00 90.00 90.00°
Fractional positions:
1 Zr 0.000 0.000 0.000
2 Sb 0.000 0.000 0.500
3 Te 0.000 0.500 0.000
4 Te 0.500 0.000 0.000
5 Os 0.500 0.500 0.500

---

No. 4
A plane-wave DFT calculation with PBE-GGA was carried out for a relaxed structure of Zr2SbTeOs.

Summary:
M_tot, μB per atom: 0.310
Raw formation energy, meV/atom: 1709.6
Crystal system: tetragonal
Energy, eV per cell: -27.0
D(E_F), states/eV per cell: 5.2

Cell: 5.311 5.311 5.424 Å, 90.00 90.00 90.00°
Fractional positions:
1 Zr 0.000 0.500 0.000
2 Zr 0.500 0.000 0.000
3 Sb 0.000 0.000 0.000
4 Te 0.000 0.000 0.500
5 Os 0.500 0.500 0.500

---

No. 5
A plane-wave DFT calculation with PBE-GGA was carried out for a relaxed structure of Th2SbOs.

Summary:
Polymorph energy (0 for the lowest one), meV/atom: 530
M_tot, μB per atom: 0.000
Raw formation energy, meV/atom: -99.8
Crystal system: trigonal
Energy, eV per cell: -30.6
D(E_F), states/eV per cell: 4.7

Cell: 9.777 9.777 9.777 Å, 24.26 24.26 24.26°
Fractional positions:
1 Th 0.113 0.113 0.113
2 Th 0.887 0.887 0.887
3 Sb 0.000 0.000 0.000
4 Os 0.500 0.500 0.500

---

No. 6
A plane-wave DFT calculation with PBE-GGA was carried out for a relaxed structure of Th4SbOs.

Summary:
Polymorph energy (0 for the lowest one), meV/atom: 0
M_tot, μB per atom: 0.000
Raw formation energy, meV/atom: -438.8
Crystal system: tetragonal
Energy, eV per cell: -95.3
D(E_F), states/eV per cell: 13.6

Cell: 7.451 7.451 6.193 Å, 90.00 90.00 90.00°
Fractional positions:
1 Th 0.144 0.319 0.000
2 Th 0.144 0.681 0.500
3 Th 0.319 0.144 0.500
4 Th 0.319 0.856 0.000
5 Th 0.681 0.144 0.000
6 Th 0.681 0.856 0.500
7 Th 0.856 0.319 0.500
8 Th 0.856 0.681 0.000
9 Sb 0.500 0.500 0.250
10 Sb 0.500 0.500 0.750
11 Os 0.000 0.000 0.250
12 Os 0.000 0.000 0.750

---

No. 7
A plane-wave DFT calculation with PBE-GGA was carried out for a relaxed structure of Th3SbOs.

Summary:
Polymorph energy (0 for the lowest one), meV/atom: 185
M_tot, μB per atom: 0.000
Raw formation energy, meV/atom: -339.2
Crystal system: orthorhombic
Energy, eV per cell: -78.6
D(E_F), states/eV per cell: 9.1

Cell: 8.417 8.417 5.289 Å, 90.00 90.00 125.09°
Fractional positions:
1 Th 0.000 0.500 0.500
2 Th 0.126 0.874 0.000
3 Th 0.306 0.306 0.500
4 Th 0.500 0.000 0.500
5 Th 0.694 0.694 0.500
6 Th 0.874 0.126 0.000
7 Sb 0.356 0.644 0.000
8 Sb 0.644 0.356 0.000
9 Os 0.106 0.894 0.500
10 Os 0.894 0.106 0.500

---

No. 8
A plane-wave DFT calculation with PBE-GGA was carried out for a relaxed structure of Th3Sb2Os.

Summary:
Polymorph energy (0 for the lowest one), meV/atom: 30
M_tot, μB per atom: 0.000
Raw formation energy, meV/atom: -642.5
Crystal system: tetragonal
Energy, eV per cell: -45.6
D(E_F), states/eV per cell: 4.2

Cell: 9.814 9.814 9.814 Å, 154.02 154.02 37.07°
Fractional positions:
1 Th 0.000 0.000 0.000
2 Th 0.355 0.355 0.000
3 Th 0.645 0.645 0.000
4 Sb 0.177 0.177 0.000
5 Sb 0.823 0.823 0.000
6 Os 0.500 0.500 0.000

---

No. 9
A plane-wave DFT calculation with PBE-GGA was carried out for a relaxed structure of Th2SbOs.

Summary:
Polymorph energy (0 for the lowest one), meV/atom: 0
M_tot, μB per atom: 0.000
Raw formation energy, meV/atom: -629.5
Crystal system: monoclinic
Energy, eV per cell: -65.4
D(E_F), states/eV per cell: 5.6

Cell: 6.333 4.196 8.733 Å, 90.00 109.39 90.00°
Fractional positions:
1 Th 0.163 0.250 0.392
2 Th 0.254 0.750 0.045
3 Th 0.746 0.250 0.955
4 Th 0.837 0.750 0.608
5 Sb 0.377 0.750 0.700
6 Sb 0.623 0.250 0.300
7 Os 0.111 0.250 0.800
8 Os 0.889 0.750 0.200

---

No. 10
A plane-wave DFT calculation with PBE-GGA was carried out for a relaxed structure of Th4SbOs2.

Summary:
Polymorph energy (0 for the lowest one), meV/atom: 100
M_tot, μB per atom: 0.000
Raw formation energy, meV/atom: -403.5
Crystal system: tetragonal
Energy, eV per cell: -118.2
D(E_F), states/eV per cell: 12.5

Cell: 7.957 7.957 7.957 Å, 108.14 108.14 112.17°
Fractional positions:
1 Th 0.013 0.768 0.114
2 Th 0.096 0.482 0.745
3 Th 0.101 0.987 0.755
4 Th 0.232 0.346 0.245
5 Th 0.518 0.263 0.614
6 Th 0.649 0.904 0.386
7 Th 0.654 0.899 0.886
8 Th 0.737 0.351 0.255
9 Sb 0.250 0.750 0.500
10 Sb 0.500 0.500 0.000
11 Os 0.375 0.016 0.141
12 Os 0.766 0.625 0.641
13 Os 0.875 0.234 0.859
14 Os 0.984 0.125 0.359

---

No. 11
A plane-wave DFT calculation with PBE-GGA was carried out for a relaxed structure of Th5Sb2Os2.

Summary:
M_tot, μB per atom: 0.000
Raw formation energy, meV/atom: -374.9
Crystal system: orthorhombic
Energy, eV per cell: -142.4
D(E_F), states/eV per cell: 17.1

Cell: 10.368 10.368 10.368 Å, 65.71 126.97 144.10°
Fractional positions:
1 Th 0.092 0.348 0.042
2 Th 0.092 0.550 0.244
3 Th 0.211 0.056 0.266
4 Th 0.211 0.444 0.655
5 Th 0.306 0.050 0.958
6 Th 0.306 0.848 0.756
7 Th 0.604 0.442 0.662
8 Th 0.779 0.942 0.338
9 Th 0.789 0.556 0.345
10 Th 0.789 0.944 0.734
11 Sb 0.614 0.095 0.344
12 Sb 0.614 0.770 0.019
13 Sb 0.751 0.270 0.656
14 Sb 0.751 0.595 0.981
15 Os 0.041 0.913 0.628
16 Os 0.285 0.413 0.372
17 Os 0.295 0.295 0.000
18 Os 0.295 0.795 0.500

---

No. 12
A plane-wave DFT calculation with PBE-GGA was carried out for a relaxed structure of Th3SbOs.

Summary:
Polymorph energy (0 for the lowest one), meV/atom: 0
M_tot, μB per atom: 0.000
Raw formation energy, meV/atom: -524.4
Crystal system: orthorhombic
Energy, eV per cell: -160.9
D(E_F), states/eV per cell: 16.3

Cell: 7.902 4.492 16.616 Å, 90.00 90.00 90.00°
Fractional positions:
1 Th 0.014 0.250 0.094
2 Th 0.140 0.750 0.447
3 Th 0.167 0.250 0.706
4 Th 0.333 0.750 0.206
5 Th 0.360 0.250 0.947
6 Th 0.486 0.750 0.594
7 Th 0.514 0.250 0.406
8 Th 0.640 0.750 0.053
9 Th 0.667 0.250 0.794
10 Th 0.833 0.750 0.294
11 Th 0.860 0.250 0.553
12 Th 0.986 0.750 0.906
13 Sb 0.127 0.250 0.299
14 Sb 0.373 0.750 0.799
15 Sb 0.627 0.250 0.201
16 Sb 0.873 0.750 0.701
17 Os 0.237 0.750 0.041
18 Os 0.263 0.250 0.541
19 Os 0.737 0.750 0.459
20 Os 0.763 0.250 0.959

---

Which of these has the highest energy?
ZnSb2TeOs

---

Please write out number 10 again, unchanged.
A plane-wave DFT calculation with PBE-GGA was carried out for a relaxed structure of Th4SbOs2.

Summary:
Polymorph energy (0 for the lowest one), meV/atom: 100
M_tot, μB per atom: 0.000
Raw formation energy, meV/atom: -403.5
Crystal system: tetragonal
Energy, eV per cell: -118.2
D(E_F), states/eV per cell: 12.5

Cell: 7.957 7.957 7.957 Å, 108.14 108.14 112.17°
Fractional positions:
1 Th 0.013 0.768 0.114
2 Th 0.096 0.482 0.745
3 Th 0.101 0.987 0.755
4 Th 0.232 0.346 0.245
5 Th 0.518 0.263 0.614
6 Th 0.649 0.904 0.386
7 Th 0.654 0.899 0.886
8 Th 0.737 0.351 0.255
9 Sb 0.250 0.750 0.500
10 Sb 0.500 0.500 0.000
11 Os 0.375 0.016 0.141
12 Os 0.766 0.625 0.641
13 Os 0.875 0.234 0.859
14 Os 0.984 0.125 0.359